1.
Here is La2Cd3Hg after structural relaxation from Alexandria. Energies are from PBE.

a b c (Å): 3.5419 5.1455 8.8527
angles (deg): 90.00 90.00 90.00
Last column: nearest neighbours and their distance in Å.
Space group Pmm2 (No. 25)
Symmetry-distinct sites (fractional):
La 0.0000 0.0000 0.0000 (multiplicity 1)  2 Hg 3.42, 10 Cd 3.42-3.48, 2 La 3.54
La 0.0000 0.5000 0.4890 (multiplicity 1)  4 Hg 3.43, 8 Cd 3.43-3.49, 2 La 3.54
Cd 0.5000 0.0000 0.6647 (multiplicity 1)  2 Cd 2.94, 1 Hg 2.96
Cd 0.5000 0.5000 0.1573 (multiplicity 1)  1 Cd 2.94, 2 Hg 2.99
Cd 0.5000 0.5000 0.8254 (multiplicity 1)  3 Cd 2.94
Hg 0.5000 0.0000 0.3301 (multiplicity 1)  3 Cd 2.96-2.99

## Properties
E, eV per atom: -2.560
ρ, Mg/m³: 8.4
Energy of formation from the pure elements, kJ/mol of formula units: -237

***

2.
Here is YErSc6 after structural relaxation from Alexandria. Energies are from PBE.

a b c (Å): 6.7762 6.7762 5.2904
angles (deg): 90.00 90.00 120.00
Last column: nearest neighbours and their distance in Å.
Space group P-6m2 (No. 187)
Symmetry-distinct sites (fractional):
Y 0.0000 0.0000 0.0000 (multiplicity 1)  12 Sc 3.32-3.39
Er 0.6667 0.3333 0.5000 (multiplicity 1)  12 Sc 3.31-3.39
Sc 0.0066 0.5033 0.0000 (multiplicity 3)  8 Sc 3.27-3.46, 2 Er 3.31, 2 Y 3.39
Sc 0.1705 0.3410 0.5000 (multiplicity 3)  8 Sc 3.27-3.47, 2 Y 3.32, 2 Er 3.39

## Properties
E, eV per atom: -6.111
ρ, Mg/m³: 4.2
Energy of formation from the pure elements, kJ/mol of formula units: 12

***

3.
Here is MgTaNb2B after structural relaxation from Alexandria. Energies are from PBE.

a b c (Å): 4.4588 4.4588 4.2357
angles (deg): 90.00 90.00 90.00
Last column: nearest neighbours and their distance in Å.
Space group P4/mmm (No. 123)
Symmetry-distinct sites (fractional):
Mg 0.0000 0.0000 0.0000 (multiplicity 1)  2 B 2.12
Ta 0.5000 0.5000 0.0000 (multiplicity 1)  8 Nb 3.07, 4 Mg 3.15
Nb 0.0000 0.5000 0.5000 (multiplicity 2)  2 B 2.23
B 0.0000 0.0000 0.5000 (multiplicity 1)  2 Mg 2.12, 4 Nb 2.23

## Properties
E, eV per atom: -7.806
ρ, Mg/m³: 7.9
Energy of formation from the pure elements, kJ/mol of formula units: 119

***

4.
Here is Cd2TeP after structural relaxation from Alexandria. Energies are from PBE.

a b c (Å): 3.9193 3.9193 6.0938
angles (deg): 90.00 90.00 90.00
Last column: nearest neighbours and their distance in Å.
Space group P4/mmm (No. 123)
Symmetry-distinct sites (fractional):
Cd 0.0000 0.0000 0.2301 (multiplicity 2)  1 Cd 2.80, 4 P 3.11
Te 0.5000 0.5000 0.5000 (multiplicity 1)  2 P 3.05, 8 Cd 3.22
P 0.5000 0.5000 0.0000 (multiplicity 1)  2 Te 3.05, 8 Cd 3.11

## Properties
E, eV per atom: -2.312
E above lowest polymorph, meV/atom: 350
ρ, Mg/m³: 6.8

***

5.
Here is Ta2ZnCl after structural relaxation from Alexandria. Energies are from PBE.

a b c (Å): 4.0034 4.0034 4.4510
angles (deg): 90.00 90.00 90.00
Last column: nearest neighbours and their distance in Å.
Space group P4/mmm (No. 123)
Symmetry-distinct sites (fractional):
Ta 0.0000 0.5000 0.0000 (multiplicity 2)  4 Ta 2.83, 4 Cl 2.99, 4 Zn 2.99
Zn 0.0000 0.0000 0.5000 (multiplicity 1)  4 Cl 2.83, 8 Ta 2.99
Cl 0.5000 0.5000 0.5000 (multiplicity 1)  4 Zn 2.83, 8 Ta 2.99

## Properties
E, eV per atom: -5.953
E above lowest polymorph, meV/atom: 815
ρ, Mg/m³: 10.8

***

6.
Here is LaPm8Sc2 after structural relaxation from Alexandria. Energies are from PBE.

a b c (Å): 9.0110 16.2723 5.9184
angles (deg): 90.00 122.80 90.00
Last column: nearest neighbours and their distance in Å.
Space group C2/m (No. 12)
Symmetry-distinct sites (fractional):
La 0.0000 0.0000 0.0000 (multiplicity 2)  4 Pm 3.31-3.39
Pm 0.0000 0.2084 0.0000 (multiplicity 4)  2 Sc 3.39, 1 La 3.39, 6 Pm 3.53-3.70
Pm 0.0775 0.5000 0.7929 (multiplicity 4)  3 Pm 2.95-3.30, 1 La 3.31
Pm 0.2195 0.1215 0.6770 (multiplicity 8)  5 Pm 3.30-3.66, 2 Sc 3.40-3.49
Sc 0.0000 0.3102 0.5000 (multiplicity 4)  8 Pm 3.39-3.49

## Properties
E, eV per atom: -4.899
E above lowest polymorph, meV/atom: 33
ρ, Mg/m³: 6.3
Energy of formation from the pure elements, kJ/mol of formula units: 164